Record 1
Compound: Pm5Ho3As8
Source: Alexandria
Functional: PBE-GGA
Structure: optimized geometry

Structure (POSCAR):
```
Pm5Ho3As8
1.0
7.268 0.000 4.163
2.442 6.846 4.163
0.030 0.021 8.373
As Ho Pm
8 3 5
Direct
0.244 0.750 0.256
0.753 0.753 0.742
0.756 0.250 0.744
0.750 0.244 0.256
0.250 0.756 0.744
0.247 0.247 0.258
0.750 0.750 0.256
0.250 0.250 0.744
0.000 0.500 0.500
0.000 0.000 0.500
0.500 0.000 0.500
0.000 0.500 0.000
0.500 0.500 0.500
0.500 0.000 0.000
0.500 0.500 0.000
0.000 0.000 0.000
```

Values from the calculation:
Energy of formation (eV per formula unit): -24.345
V (Å³/cell): 415
VASP energy (eV/atom): -6.19
Space-group type: R-3m, No. 166

***

Record 2
Compound: GdZrHgIr
Source: Alexandria
Functional: PBE-GGA
Structure: optimized geometry

Structure (POSCAR):
```
GdZrHgIr
1.0
4.953 0.000 0.000
2.476 4.289 0.000
2.476 1.430 4.044
Zr Ir Gd Hg
1 1 1 1
Direct
0.250 0.250 0.250
0.000 0.000 0.000
0.750 0.750 0.750
0.500 0.500 0.500
```

Values from the calculation:
Energy of formation (eV per formula unit): -1.603
V (Å³/cell): 86
VASP energy (eV/atom): -8.35
Space-group type: F-43m, No. 216